Entry 1:
The following is a GGA-PBE calculation of a relaxed structure of Ba3LaNb2O9, from the Alexandria database.

Values from the calculation:
Volume: 16.10 Å³/atom
E_form (uncorrected): -2.874 eV per atom
Space group: P-3m1, No. 164
Magnetic moment: 0.000 μB per cell

Unit cell a=6.0532 b=6.0532 c=7.6129 alpha=90.00 beta=90.00 gamma=120.00
Closest atoms and distances in Å follow each position.
Atoms (fractional coordinates):
O: 0.0000 0.5000 0.0000  2 Nb 2.13
O: 0.1765 0.3529 0.3070  1 Nb 1.99
O: 0.1765 0.8235 0.3070  1 Nb 1.99
O: 0.8235 0.6471 0.6930  1 Nb 1.99
O: 0.5000 0.0000 0.0000  2 Nb 2.13
O: 0.3529 0.1765 0.6930  1 Nb 1.99
O: 0.5000 0.5000 0.0000  2 Nb 2.13
O: 0.8235 0.1765 0.6930  1 Nb 1.99
O: 0.6471 0.8235 0.3070  1 Nb 1.99
La: 0.0000 0.0000 0.5000  6 O 2.36
Ba: 0.6667 0.3333 0.3076  9 O 2.92-3.03
Ba: 0.3333 0.6667 0.6924  9 O 2.92-3.03
Ba: 0.0000 0.0000 0.0000  12 O 2.98-3.03
Nb: 0.3333 0.6667 0.1604  6 O 1.99-2.13
Nb: 0.6667 0.3333 0.8396  6 O 1.99-2.13



Entry 2:
The following is a GGA-PBE calculation of a relaxed structure of Ba3LaNb3O12, from the Alexandria database.

Values from the calculation:
Volume: 14.51 Å³/atom
E_form (uncorrected): -2.863 eV per atom
Space group: R3m, No. 160
Magnetic moment: 0.000 μB per cell

Unit cell a=9.9444 b=9.9444 c=9.9444 alpha=34.11 beta=34.11 gamma=34.11
Closest atoms and distances in Å follow each position.
Atoms (fractional coordinates):
O: 0.3789 0.3789 0.8756  1 Nb 1.88
O: 0.1244 0.6251 0.6251  1 Nb 1.95
O: 0.2092 0.2092 0.7116  2 Nb 2.09-2.14
O: 0.8756 0.3789 0.3789  1 Nb 1.88
O: 0.7116 0.2092 0.2092  2 Nb 2.09-2.14
O: 0.7959 0.2901 0.7959  1 Nb 1.98
O: 0.6251 0.6251 0.1244  1 Nb 1.95
O: 0.7959 0.7959 0.2901  1 Nb 1.98
O: 0.3789 0.8756 0.3789  1 Nb 1.88
O: 0.2092 0.7116 0.2092  2 Nb 2.09-2.14
O: 0.2901 0.7959 0.7959  1 Nb 1.98
O: 0.6251 0.1244 0.6251  1 Nb 1.95
Nb: 0.5752 0.5752 0.5752  3 O 1.88
Nb: 0.4234 0.4234 0.4234  6 O 1.95-2.14
Nb: 0.9988 0.9988 0.9988  6 O 1.98-2.09
Ba: 0.2884 0.2884 0.2884  12 O 2.75-3.00
Ba: 0.7102 0.7102 0.7102  12 O 2.84-2.92
Ba: 0.1315 0.1315 0.1315  12 O 2.81-2.99
La: 0.8527 0.8527 0.8527  3 O 2.40



Entry 3:
The following is a GGA-PBE calculation of a relaxed structure of Ba2La3Ti2Nb2O15, from the Alexandria database.

Values from the calculation:
Volume: 13.83 Å³/atom
E_form (uncorrected): -3.094 eV per atom
Space group: P-3c1, No. 165
Magnetic moment: 2.108 μB per cell

Unit cell a=5.7266 b=5.7266 c=23.3722 alpha=90.00 beta=90.00 gamma=120.00
Closest atoms and distances in Å follow each position.
Atoms (fractional coordinates):
Ti: 0.6667 0.3333 0.7963  6 O 2.01-2.03
Ti: 0.3333 0.6667 0.2037  6 O 2.01-2.03
Ti: 0.6667 0.3333 0.2963  6 O 2.01-2.03
Ti: 0.3333 0.6667 0.7037  6 O 2.01-2.03
La: 0.3333 0.6667 0.8550  6 O 2.50-2.55
La: 0.6667 0.3333 0.1450  6 O 2.50-2.55
La: 0.0000 0.0000 0.7500  9 O 2.50-2.70
La: 0.6667 0.3333 0.6450  6 O 2.50-2.55
La: 0.0000 0.0000 0.2500  9 O 2.50-2.70
La: 0.3333 0.6667 0.3550  6 O 2.50-2.55
O: 0.9049 0.2305 0.3414  1 Ti 2.03, 1 Nb 2.17
O: 0.2112 0.3389 0.4382  1 Nb 1.91
O: 0.6611 0.7888 0.9382  1 Nb 1.91
O: 0.2112 0.8723 0.9382  1 Nb 1.91
O: 0.6611 0.8723 0.4382  1 Nb 1.91
O: 0.3389 0.2112 0.0618  1 Nb 1.91
O: 0.7695 0.0951 0.8414  1 Ti 2.03, 1 Nb 2.17
O: 0.7888 0.1277 0.0618  1 Nb 1.91
O: 0.5641 0.5641 0.7500  2 Ti 2.01
O: 0.4359 0.0000 0.7500  2 Ti 2.01
O: 0.0951 0.7695 0.6586  1 Ti 2.03, 1 Nb 2.17
O: 0.9049 0.6744 0.8414  1 Ti 2.03, 1 Nb 2.17
O: 0.7888 0.6611 0.5618  1 Nb 1.91
O: 0.5641 0.0000 0.2500  2 Ti 2.01
O: 0.3256 0.2305 0.8414  1 Ti 2.03, 1 Nb 2.17
O: 0.8723 0.2112 0.5618  1 Nb 1.91
O: 0.0000 0.5641 0.2500  2 Ti 2.01
O: 0.2305 0.9049 0.1586  1 Ti 2.03, 1 Nb 2.17
O: 0.6744 0.9049 0.6586  1 Ti 2.03, 1 Nb 2.17
O: 0.8723 0.6611 0.0618  1 Nb 1.91
O: 0.1277 0.3389 0.9382  1 Nb 1.91
O: 0.0000 0.4359 0.7500  2 Ti 2.01
O: 0.3256 0.0951 0.3414  1 Ti 2.03, 1 Nb 2.17
O: 0.2305 0.3256 0.6586  1 Ti 2.03, 1 Nb 2.17
O: 0.7695 0.6744 0.3414  1 Ti 2.03, 1 Nb 2.17
O: 0.4359 0.4359 0.2500  2 Ti 2.01
O: 0.3389 0.1277 0.5618  1 Nb 1.91
O: 0.6744 0.7695 0.1586  1 Ti 2.03, 1 Nb 2.17
O: 0.1277 0.7888 0.4382  1 Nb 1.91
O: 0.0951 0.3256 0.1586  1 Ti 2.03, 1 Nb 2.17
Nb: 0.0000 0.0000 0.4009  3 O 1.91
Nb: 0.0000 0.0000 0.9009  3 O 1.91
Nb: 0.0000 0.0000 0.0991  3 O 1.91
Nb: 0.0000 0.0000 0.5991  3 O 1.91
Ba: 0.3333 0.6667 0.5365  6 O 2.69-2.82
Ba: 0.6667 0.3333 0.4635  6 O 2.69-2.82
Ba: 0.3333 0.6667 0.0365  6 O 2.69-2.82
Ba: 0.6667 0.3333 0.9635  6 O 2.69-2.82



Entry 4:
The following is a GGA-PBE calculation of a relaxed structure of BaLa2NbOs, from the Alexandria database.

Values from the calculation:
Volume: 32.11 Å³/atom
Space group: P4/mmm, No. 123
Magnetic moment: 0.000 μB per cell
DFT formation energy: 58.4 kJ/mol of atoms

Unit cell a=5.7219 b=4.9045 c=5.7219 alpha=90.00 beta=90.00 gamma=90.00
Closest atoms and distances in Å follow each position.
Atoms (fractional coordinates):
La: 0.5000 0.0000 0.0000  2 Nb 2.86
La: 0.0000 0.0000 0.5000  2 Nb 2.86
Os: 0.0000 0.5000 0.0000  2 Nb 2.45
Nb: 0.0000 0.0000 0.0000  2 Os 2.45
Ba: 0.5000 0.5000 0.5000  8 La 3.77, 4 Os 4.05



Entry 5:
The following is a GGA-PBE calculation of a relaxed structure of BaLaNbRe2, from the Alexandria database.

Values from the calculation:
Volume: 26.73 Å³/atom
Space group: P4/mmm, No. 123
Magnetic moment: 0.000 μB per cell
DFT formation energy: 236.7 kJ/mol of atoms

Unit cell a=4.8882 b=5.5930 c=4.8882 alpha=90.00 beta=90.00 gamma=90.00
Closest atoms and distances in Å follow each position.
Atoms (fractional coordinates):
Ba: 0.0000 0.5000 0.0000  2 La 2.80
Re: 0.0000 0.0000 0.5000  2 La 2.44
Re: 0.5000 0.0000 0.0000  2 La 2.44
Nb: 0.5000 0.5000 0.5000  4 Ba 3.46, 8 Re 3.71
La: 0.0000 0.0000 0.0000  4 Re 2.44



Entry 6:
The following is a GGA-PBE calculation of a relaxed structure of BaLa14Nd, from the Alexandria database.

Values from the calculation:
Volume: 37.23 Å³/atom
Space group: P4/mmm, No. 123
Magnetic moment: 0.000 μB per cell
DFT formation energy: 3.9 kJ/mol of atoms

Unit cell a=7.5069 b=7.5069 c=10.5697 alpha=90.00 beta=90.00 gamma=90.00
Closest atoms and distances in Å follow each position.
Atoms (fractional coordinates):
La: 0.3750 0.8750 0.5000  2 Nd 3.75, 2 Ba 3.75, 8 La 3.79
La: 0.1334 0.6166 0.2436  10 La 3.63-3.88, 1 Nd 3.73, 1 Ba 3.86
La: 0.3750 0.3750 0.0000  12 La 3.63-3.75
La: 0.8750 0.8750 0.0000  12 La 3.75-3.76
La: 0.1334 0.6166 0.7564  10 La 3.63-3.88, 1 Nd 3.73, 1 Ba 3.86
La: 0.1335 0.1335 0.7564  10 La 3.63-3.88, 1 Nd 3.73, 1 Ba 3.86
La: 0.8750 0.3750 0.5000  2 Nd 3.75, 2 Ba 3.75, 8 La 3.79
La: 0.3750 0.8750 0.0000  12 La 3.70-3.75
La: 0.6166 0.1334 0.2436  10 La 3.63-3.88, 1 Nd 3.73, 1 Ba 3.86
La: 0.6165 0.6165 0.7564  10 La 3.63-3.88, 1 Nd 3.73, 1 Ba 3.86
La: 0.1335 0.1335 0.2436  10 La 3.63-3.88, 1 Nd 3.73, 1 Ba 3.86
La: 0.8750 0.3750 0.0000  12 La 3.70-3.75
La: 0.6165 0.6165 0.2436  10 La 3.63-3.88, 1 Nd 3.73, 1 Ba 3.86
La: 0.6166 0.1334 0.7564  10 La 3.63-3.88, 1 Nd 3.73, 1 Ba 3.86
Nd: 0.3750 0.3750 0.5000  12 La 3.73-3.75
Ba: 0.8750 0.8750 0.5000  12 La 3.75-3.86



Entry 7:
The following is a GGA-PBE calculation of a relaxed structure of BaLaNd2Se4, from the Alexandria database.

Values from the calculation:
Volume: 29.24 Å³/atom
E_form (uncorrected): -1.894 eV per atom
Space group: Imma, No. 74
Magnetic moment: 0.000 μB per cell

Unit cell a=8.7139 b=8.7138 c=8.6574 alpha=119.78 beta=119.78 gamma=90.00
Closest atoms and distances in Å follow each position.
Atoms (fractional coordinates):
Se: 0.7415 0.7575 0.4964  3 Nd 2.98-3.07, 2 La 3.10-3.11, 1 Ba 3.18
Se: 0.2685 0.7653 0.0170  3 Nd 2.98-3.07, 1 La 3.10, 2 Ba 3.19
Se: 0.7316 0.2347 0.9830  3 Nd 2.98-3.07, 1 La 3.10, 2 Ba 3.19
Se: 0.7426 0.7585 0.0036  3 Nd 2.98-3.07, 2 La 3.10, 1 Ba 3.18
Se: 0.2585 0.2426 0.5036  3 Nd 2.98-3.07, 2 La 3.10-3.11, 1 Ba 3.18
Se: 0.2574 0.2415 0.9964  3 Nd 2.98-3.07, 2 La 3.10, 1 Ba 3.18
Se: 0.7347 0.2315 0.4829  3 Nd 2.98-3.07, 1 La 3.10, 2 Ba 3.19
Se: 0.2653 0.7685 0.5171  3 Nd 2.98-3.07, 1 La 3.10, 2 Ba 3.19
La: 0.0000 0.0000 0.0000  6 Se 3.10-3.11
La: 0.5000 0.5000 0.5000  6 Se 3.10
Nd: 0.0000 0.0000 0.5000  6 Se 3.06-3.07
Nd: 0.5000 0.0000 0.5000  6 Se 2.98
Nd: 0.5000 0.0000 0.0000  6 Se 2.98
Nd: 0.5000 0.5000 0.0000  6 Se 3.06-3.07
Ba: 0.0000 0.5000 0.0000  6 Se 3.18-3.19
Ba: 0.0000 0.5000 0.5000  6 Se 3.18-3.19



Entry 8:
The following is a GGA-PBE calculation of a relaxed structure of BaLa2NdSe4, from the Alexandria database.

Values from the calculation:
Volume: 29.72 Å³/atom
E_form (uncorrected): -1.923 eV per atom
Space group: P2/m, No. 10
Magnetic moment: 0.000 μB per cell

Unit cell a=4.3566 b=7.5825 c=7.6184 alpha=70.88 beta=90.00 gamma=90.00
Closest atoms and distances in Å follow each position.
Atoms (fractional coordinates):
Ba: 0.5000 0.5000 0.0000  6 Se 3.18-3.19
Nd: 0.0000 0.5000 0.5000  6 Se 3.08
Se: 0.0000 0.2376 0.2657  3 La 3.01-3.12, 1 Nd 3.08, 2 Ba 3.19
Se: 0.5000 0.7533 0.2595  3 La 3.02-3.12, 2 Nd 3.08, 1 Ba 3.18
Se: 0.0000 0.7624 0.7343  3 La 3.01-3.12, 1 Nd 3.08, 2 Ba 3.19
Se: 0.5000 0.2467 0.7405  3 La 3.02-3.12, 2 Nd 3.08, 1 Ba 3.18
La: 0.5000 0.0000 0.5000  6 Se 3.01-3.02
La: 0.0000 0.0000 0.0000  6 Se 3.12



Question: Look up the volume of the first one.
Answer: 16.10 Å³/atom



Question: Number 4 is which compound?
Answer: BaLa2NbOs



Question: The lowest volume belongs to which entry?
Answer: Ba2La3Ti2Nb2O15